KSiNi | GGA-PBEsol | optimized geometry

a = 2.6605 Å, b = 3.7288 Å, c = 11.6462 Å
α = 90.00°, β = 90.00°, γ = 90.00°
Space group Imm2 (No. 44)
Unique sites:
K (0.0000, 0.0000, 0.0000) (multiplicity 2)
Si (0.0000, 0.0000, 0.2692) (multiplicity 2)
Ni (0.0000, 0.0000, 0.7380) (multiplicity 2)

Computed properties:
magnetization = 0.0 Bohr magnetons per cell
raw formation energy = 0.0146 eV/atom
uncorrected energy = -25.99 eV/cell
V = 19.26 Å³/atom
N(E_F) = 0.772 states/eV/atom